[1]
GGA-PBE Pr8GaP3Cl4, relaxed; calculated total energy = -5.518 eV/atom; volume = 430.75 Å³ per cell; E_form (uncorrected) = -1.46 eV/atom
1.0
-5.9276 -2.3556 5.4477
-1.0081 -7.3560 -4.2777
7.6280 2.1304 2.7632
Pr Ga P Cl
8 1 3 4
direct
0.2430 0.7210 0.9781 Pr
0.2430 0.7210 0.4860 Pr
0.2620 0.2861 0.5241 Pr
0.7351 0.7210 0.9781 Pr
0.2649 0.2790 0.0219 Pr
0.7380 0.7139 0.4759 Pr
0.7570 0.2790 0.5140 Pr
0.7570 0.2790 0.0219 Pr
0.0000 0.5000 0.0000 Ga
0.5000 0.5000 0.0000 P
0.5000 0.5000 0.5000 P
0.0000 0.5000 0.5000 P
0.5000 0.0000 0.0000 Cl
0.5000 0.0000 0.5000 Cl
0.0000 0.0000 0.0000 Cl
0.0000 0.0000 0.5000 Cl



[2]
GGA-PBE AcIn4Ag, relaxed; calculated total energy = -2.738 eV/atom; volume = 217.86 Å³ per cell; formation energy = 248 meV per atom; energy above the most stable polymorph in this dataset = 0.5439 eV per atom
1.0
-4.5815 -1.1713 2.0398
1.4113 -4.9417 0.3323
3.0012 1.3629 7.5236
Ac In Ag
1 4 1
direct
0.0000 0.0000 0.0000 Ac
0.5000 0.5000 0.8331 In
0.5000 0.5000 0.1669 In
0.5000 0.0000 0.5000 In
0.0000 0.5000 0.5000 In
0.5000 0.5000 0.5000 Ag



[3]
GGA-PBE Fe3SnTe, relaxed; calculated total energy = -5.511 eV/atom; volume = 105.72 Å³ per cell; energy above the most stable polymorph in this dataset = 0.0000 eV per atom; E_form (uncorrected) = 1.00 eV/atom
1.0
4.7284 0.0000 0.0000
0.0000 4.7284 0.0000
0.0000 0.0000 4.7284
Te Sn Fe
1 1 3
direct
0.0000 0.0000 0.0000 Te
0.5000 0.5000 0.5000 Sn
0.0000 0.5000 0.0000 Fe
0.0000 0.0000 0.5000 Fe
0.5000 0.0000 0.0000 Fe



[4]
GGA-PBE DyYMg5, relaxed; calculated total energy = -2.621 eV/atom; volume = 190.78 Å³ per cell; formation energy = 99 meV per atom
1.0
5.7701 -0.2543 -0.5678
-2.1181 5.3734 -0.5677
-0.6385 -0.8950 6.4606
Dy Y Mg
1 1 5
direct
0.5000 0.5000 0.5000 Dy
0.0000 0.0000 0.0000 Y
0.4926 0.9170 0.2245 Mg
0.9170 0.4926 0.2245 Mg
0.0000 0.0000 0.5000 Mg
0.0830 0.5074 0.7755 Mg
0.5074 0.0830 0.7755 Mg



[5]
GGA-PBE LaTb3Pr4, relaxed; calculated total energy = -4.729 eV/atom; volume = 554.85 Å³ per cell; formation energy = 13 meV per atom; energy above the most stable polymorph in this dataset = 0.0000 eV per atom
1.0
-0.1282 6.7279 -2.8926
-0.2082 -2.8886 -6.7095
-10.3602 -0.0500 0.3430
Pr Tb La
8 6 2
direct
0.9998 0.8107 0.0000 Pr
0.5001 0.3104 0.0000 Pr
0.7527 0.0606 0.7499 Pr
0.2473 0.5606 0.7501 Pr
0.4999 0.8104 0.5000 Pr
0.0002 0.3107 0.5000 Pr
0.2473 0.5606 0.2499 Pr
0.7527 0.0606 0.2501 Pr
0.0001 0.3105 0.0000 Tb
0.2467 0.0606 0.7499 Tb
0.7533 0.5606 0.7501 Tb
0.9999 0.8105 0.5000 Tb
0.7533 0.5606 0.2499 Tb
0.2467 0.0606 0.2501 Tb
0.4997 0.8106 0.0000 La
0.5003 0.3106 0.5000 La



[6]
GGA-PBE La6Tc2SBr3, relaxed; calculated total energy = -6.012 eV/atom; volume = 363.52 Å³ per cell; E_form (uncorrected) = -1.06 eV/atom
1.0
4.1861 0.0000 0.0000
0.0000 9.4164 -0.0270
-2.0931 -3.0676 9.2310
La Tc S Br
6 2 1 3
direct
0.3407 0.8784 0.6815 La
0.6770 0.5545 0.3539 La
0.6593 0.1216 0.3185 La
0.0214 0.2393 0.0429 La
0.9786 0.7607 0.9571 La
0.3230 0.4455 0.6461 La
0.8478 0.6757 0.6955 Tc
0.1522 0.3243 0.3045 Tc
0.5000 0.0000 0.0000 S
0.5000 0.5000 0.0000 Br
0.8357 0.1637 0.6714 Br
0.1643 0.8363 0.3286 Br



[7]
GGA-PBE Ca2NiRu, relaxed; calculated total energy = -4.578 eV/atom; volume = 92.64 Å³ per cell; formation energy = 187 meV per atom
1.0
3.3623 0.0876 0.0000
-0.0661 3.3628 0.0000
0.0000 0.0000 8.1891
Ru Ca Ni
1 2 1
direct
0.5000 0.5000 0.6707 Ru
0.0000 0.0000 0.9194 Ca
0.5000 0.5000 0.3337 Ca
0.0000 0.0000 0.5762 Ni



[8]
GGA-PBE TcSbTe, relaxed; calculated total energy = -6.029 eV/atom; volume = 271.15 Å³ per cell; energy above the most stable polymorph in this dataset = 0.0234 eV per atom; E_form (uncorrected) = -0.15 eV/atom
1.0
-3.6330 3.9864 -4.2422
1.5658 -6.4847 -1.6073
-4.6926 -0.8582 5.8484
Tc Sb Te
4 4 4
direct
0.9592 0.9619 0.4957 Tc
0.2135 0.7163 0.0043 Tc
0.4663 0.4635 0.5043 Tc
0.7119 0.2092 0.9957 Tc
0.1263 0.4444 0.6441 Sb
0.1944 0.3763 0.1441 Sb
0.2322 0.0502 0.8559 Sb
0.8002 0.4822 0.3559 Sb
0.6876 0.8821 0.1440 Te
0.2936 0.9881 0.3560 Te
0.6321 0.9376 0.6440 Te
0.7381 0.5436 0.8560 Te



[9]
GGA-PBE AcInRe2O8, relaxed; calculated total energy = -7.701 eV/atom; volume = 230.76 Å³ per cell; E_form (uncorrected) = -1.75 eV/atom
1.0
-3.9769 0.3363 4.5069
-1.1767 -4.8647 3.3453
3.6820 0.3648 7.2423
Ac In Re O
1 1 2 8
direct
0.0000 0.0000 0.0000 Ac
0.5000 0.5000 0.5000 In
0.2453 0.2453 0.2641 Re
0.7547 0.7547 0.7359 Re
0.1653 0.1653 0.5042 O
0.5620 0.2626 0.1833 O
0.8347 0.8347 0.4958 O
0.9920 0.5620 0.1833 O
0.0080 0.4380 0.8167 O
0.2626 0.9920 0.1833 O
0.7374 0.0080 0.8167 O
0.4380 0.7374 0.8167 O



[10]
GGA-PBE Hg2IrRh, relaxed; calculated total energy = -3.778 eV/atom; volume = 69.76 Å³ per cell; formation energy = 426 meV per atom; energy above the most stable polymorph in this dataset = 0.1337 eV per atom
1.0
-1.9100 -3.5232 2.3046
4.1196 -2.0858 0.2255
0.6128 1.5158 2.8251
Hg Ir Rh
2 1 1
direct
0.5000 0.0000 0.0000 Hg
0.0000 0.5000 0.0000 Hg
0.5000 0.5000 0.5000 Ir
0.0000 0.0000 0.5000 Rh



[11]
GGA-PBE CuRe3I, relaxed; calculated total energy = -6.216 eV/atom; volume = 95.20 Å³ per cell; energy above the most stable polymorph in this dataset = 0.0000 eV per atom; E_form (uncorrected) = 2.38 eV/atom
1.0
-4.3535 -0.2925 1.3455
-1.2940 -0.6561 -4.3295
0.4707 -4.5092 0.5427
I Re Cu
1 3 1
direct
0.5000 0.5000 0.5000 I
0.0000 0.5000 0.0000 Re
0.0000 0.0000 0.5000 Re
0.5000 0.0000 0.0000 Re
0.0000 0.0000 0.0000 Cu



[12]
GGA-PBE MgZrI2O, relaxed; calculated total energy = -4.176 eV/atom; volume = 120.45 Å³ per cell; energy above the most stable polymorph in this dataset = 0.5136 eV per atom; E_form (uncorrected) = -0.54 eV/atom
1.0
-4.6358 -2.1340 2.5845
3.1830 -1.4216 4.5356
-0.6754 3.2903 1.5053
I Mg O Zr
2 1 1 1
direct
0.0000 0.5000 0.0000 I
0.5000 0.0000 0.0000 I
0.0000 0.0000 0.0000 Mg
0.0000 0.0000 0.5000 O
0.5000 0.5000 0.5000 Zr



Copy entry 4 word for word.
GGA-PBE DyYMg5, relaxed; calculated total energy = -2.621 eV/atom; volume = 190.78 Å³ per cell; formation energy = 99 meV per atom
1.0
5.7701 -0.2543 -0.5678
-2.1181 5.3734 -0.5677
-0.6385 -0.8950 6.4606
Dy Y Mg
1 1 5
direct
0.5000 0.5000 0.5000 Dy
0.0000 0.0000 0.0000 Y
0.4926 0.9170 0.2245 Mg
0.9170 0.4926 0.2245 Mg
0.0000 0.0000 0.5000 Mg
0.0830 0.5074 0.7755 Mg
0.5074 0.0830 0.7755 Mg